Record 1
The following is a PBE-GGA calculation of HgMoPdCl2 after structural relaxation, from the Alexandria database.

Results
- Uncorrected formation energy: 629 meV per atom
- DOS(E_F): 0.440 states/eV per atom
- Magnetization: 4.99 μB per formula unit

abc: 4.8897 5.3883 4.8897
angles: 90.00 90.00 90.00
Each line ends with the local moment (μB).
Positions (direct):
Cl 0.5000 0.0000 0.0000  0.02
Cl 0.0000 0.0000 0.5000  0.03
Mo 0.5000 0.5000 0.5000  3.96
Pd 0.0000 0.0000 0.0000  0.01
Hg 0.0000 0.5000 0.0000  0.02


Record 2
The following is a PBE-GGA calculation of LiPm2Dy after structural relaxation, from the Alexandria database.

Results
- DOS(E_F): 0.979 states/eV per atom
- DFT formation energy: 0.12 eV/atom
- Magnetization: 0.00 μB per formula unit

abc: 3.5335 3.5335 11.8562
angles: 90.00 90.00 120.00
Positions (direct):
Dy 0.0000 0.0000 0.0085
Li 0.6667 0.3333 0.5239
Pm 0.6667 0.3333 0.2497
Pm 0.3333 0.6667 0.7628


Record 3
The following is a PBE-GGA calculation of Pu4Bi3H2 after structural relaxation, from the Alexandria database.

Results
- DOS(E_F): 4.168 states/eV per atom
- Magnetization: 0.32 μB per formula unit
- Raw total energy: -8.754 eV per atom

abc: 4.4677 5.9505 9.3768
angles: 65.35 76.22 67.95
Each line ends with the local moment (μB).
Positions (direct):
Bi 0.3976 0.5007 0.7041  0.00
Bi 0.6024 0.4993 0.2959  0.00
Bi 0.0000 0.0000 0.0000  0.15
H 0.3062 0.0060 0.3817  -0.01
H 0.6938 0.9940 0.6183  -0.01
Pu 0.2934 0.2896 0.1236  -5.35
Pu 0.7066 0.7104 0.8764  -5.35
Pu 0.8751 0.8308 0.4190  5.40
Pu 0.1249 0.1692 0.5810  5.40


Record 4
The following is a PBE-GGA calculation of Pu2SeS after structural relaxation, from the Alexandria database.

Results
- Uncorrected formation energy: -1385 meV per atom
- DOS(E_F): 2.230 states/eV per atom
- Magnetization: 11.93 μB per formula unit

abc: 3.5172 4.9707 4.9707
angles: 90.00 90.00 90.00
Each line ends with the local moment (μB).
Positions (direct):
Pu 0.0000 0.0000 0.5000  5.67
Pu 0.0000 0.5000 0.0000  5.67
Se 0.5000 0.0000 0.0000  -0.11
S 0.5000 0.5000 0.5000  -0.12


Record 5
The following is a PBE-GGA calculation of CaSc5Hg6 after structural relaxation, from the Alexandria database.

Results
- DOS(E_F): 0.806 states/eV per atom
- DFT formation energy: -0.43 eV/atom
- Magnetization: 0.00 μB per formula unit

abc: 5.0391 7.0928 7.9797
angles: 90.00 71.65 90.00
Positions (direct):
Sc 0.0000 0.5000 0.0000
Sc 0.3363 0.5000 0.3272
Sc 0.3323 0.0000 0.3356
Sc 0.6637 0.5000 0.6728
Sc 0.6677 0.0000 0.6644
Hg 0.8289 0.2585 0.3423
Hg 0.1711 0.7415 0.6577
Hg 0.5000 0.7380 0.0000
Hg 0.8289 0.7415 0.3423
Hg 0.5000 0.2620 0.0000
Hg 0.1711 0.2585 0.6577
Ca 0.0000 0.0000 0.0000


Record 6
The following is a PBE-GGA calculation of Ca3CePb4 after structural relaxation, from the Alexandria database.

Results
- DOS(E_F): 1.287 states/eV per atom
- DFT formation energy: -0.48 eV/atom
- Magnetization: 0.95 μB per formula unit

abc: 5.2003 5.2005 9.7097
angles: 105.53 105.53 90.00
Each line ends with the local moment (μB).
Positions (direct):
Ce 0.5000 0.0000 0.0000  0.85
Ca 0.0000 0.5000 0.0000  0.01
Ca 0.2508 0.7509 0.5017  -0.01
Ca 0.7492 0.2491 0.4983  -0.01
Pb 0.3754 0.3755 0.7509  0.00
Pb 0.8754 0.8754 0.7509  0.00
Pb 0.1246 0.1246 0.2491  0.00
Pb 0.6246 0.6245 0.2491  0.00


Record 7
The following is a PBE-GGA calculation of Li2RePt after structural relaxation, from the Alexandria database.

Results
- DOS(E_F): 0.517 states/eV per atom
- DFT formation energy: -0.09 eV/atom
- Magnetization: 0.00 μB per formula unit

abc: 4.4473 2.6520 4.9120
angles: 89.88 90.00 90.00
Positions (direct):
Li 0.0000 0.8773 0.0628
Li 0.5000 0.3741 0.1974
Re 0.5000 0.8738 0.6878
Pt 0.0000 0.3749 0.5521


Record 8
The following is a PBE-GGA calculation of CePmRh after structural relaxation, from the Alexandria database.

Results
- DOS(E_F): 1.800 states/eV per atom
- DFT formation energy: -0.43 eV/atom
- Magnetization: 0.01 μB per formula unit

abc: 3.6518 6.0444 8.8065
angles: 116.52 101.98 107.57
Positions (direct):
Pm 0.5338 0.1793 0.8884
Pm 0.4662 0.8207 0.1116
Rh 0.2531 0.2900 0.2156
Rh 0.7469 0.7100 0.7844
Ce 0.9540 0.3246 0.5844
Ce 0.0460 0.6754 0.4156


Record 9
The following is a PBE-GGA calculation of Tl2ZnPb after structural relaxation, from the Alexandria database.

Results
- DOS(E_F): 0.384 states/eV per atom
- DFT formation energy: 0.11 eV/atom
- Magnetization: 0.00 μB per formula unit

abc: 3.5905 3.5905 10.1730
angles: 79.84 79.84 60.00
Positions (direct):
Zn 0.6662 0.6662 0.0015
Tl 0.0739 0.0739 0.7783
Tl 0.2598 0.2598 0.2207
Pb 0.5002 0.5002 0.4994


Record 10
The following is a PBE-GGA calculation of Mg2TaTc2 after structural relaxation, from the Alexandria database.

Results
- DOS(E_F): 0.875 states/eV per atom
- DFT formation energy: 0.34 eV/atom
- Magnetization: 0.00 μB per formula unit

abc: 6.4446 6.4446 4.5100
angles: 90.00 90.00 90.00
Positions (direct):
Tc 0.1327 0.3673 0.0000
Tc 0.8673 0.6327 0.0000
Tc 0.6327 0.1327 0.0000
Tc 0.3673 0.8673 0.0000
Mg 0.8299 0.3299 0.5000
Mg 0.6701 0.8299 0.5000
Mg 0.1701 0.6701 0.5000
Mg 0.3299 0.1701 0.5000
Ta 0.0000 0.0000 0.0000
Ta 0.5000 0.5000 0.0000


Record 11
The following is a PBE-GGA calculation of Nd4Ho7Tm after structural relaxation, from the Alexandria database.

Results
- DOS(E_F): 1.670 states/eV per atom
- DFT formation energy: 0.27 eV/atom
- Magnetization: 0.00 μB per formula unit

abc: 5.9081 11.6711 6.7298
angles: 83.63 63.96 75.34
Positions (direct):
Nd 0.3584 0.7773 0.5058
Nd 0.6416 0.2227 0.4942
Nd 0.2160 0.3380 0.2301
Nd 0.7840 0.6620 0.7699
Ho 0.7883 0.9239 0.4994
Ho 0.3681 0.4932 0.7707
Ho 0.0712 0.6935 0.1641
Ho 0.5000 0.0000 0.0000
Ho 0.9288 0.3065 0.8359
Ho 0.2117 0.0761 0.5006
Ho 0.6319 0.5068 0.2293
Tm 0.0000 0.0000 0.0000


Record 12
The following is a PBE-GGA calculation of Ca2PbW after structural relaxation, from the Alexandria database.

Results
- DOS(E_F): 1.105 states/eV per atom
- DFT formation energy: 0.59 eV/atom
- Magnetization: 0.80 μB per formula unit

abc: 7.0963 5.9077 3.1095
angles: 89.92 64.16 119.07
Each line ends with the local moment (μB).
Positions (direct):
Ca 0.0000 0.0000 0.0000  0.03
Ca 0.5000 0.0000 0.5000  0.03
W 0.5000 0.5000 0.0000  0.47
Pb 0.0000 0.5000 0.5000  0.00


| no. | calculated volume (Å³/f.u.) |
| --- | --- |
| 1 | 129 |
| 2 | 128 |
| 3 | 209 |
| 4 | 87 |
| 5 | 271 |
| 6 | 243 |
| 7 | 58 |
| 8 | 76 |
| 9 | 111 |
| 10 | 94 |
| 11 | 403 |
| 12 | 99 |